Density functional theory data (GGA+U) for a geometry-optimized CrTcBrO4 structure.

Calculated values
Electronic total energy, eV/atom: -6.95
SG: C2/m

a = 6.091 Å, b = 6.091 Å, c = 9.367 Å
α = 113.59°, β = 113.59°, γ = 76.09°
Atoms (fractional coordinates):
Cr  0.183  0.183  0.210
Cr  0.817  0.817  0.790
Tc  0.372  0.372  0.670
Tc  0.628  0.628  0.330
Br  0.124  0.124  0.912
Br  0.876  0.876  0.088
O  0.151  0.525  0.756
O  0.235  0.235  0.455
O  0.428  0.428  0.292
O  0.475  0.849  0.244
O  0.525  0.151  0.756
O  0.572  0.572  0.708
O  0.765  0.765  0.545
O  0.849  0.475  0.244